No. 1
Compound: NaTaSb2
Source: Alexandria via LeMat-Bulk
Functional: PBE-GGA
Structure: relaxed

Values from the calculation:
The value obtained for the offset from the most stable computed form is 0.371 eV/atom. The uncorrected formation energy is 28 kJ per mole of atoms. The value obtained for the volume is 302.8 Å³ per cell. The calculation puts the total energy at -5.061 eV per atom. The space group is I-42d (122).

Geometry as extended XYZ:
```
8
Lattice="-1.4283 2.1227 6.6010 -3.0188 -6.2577 1.3591 3.1031 -4.2354 5.8297" Properties=species:S:1:pos:R:3 pbc="T T T"
Sb -0.5867 -0.3770 6.1803
Sb -1.1970 -4.8420 2.7046
Sb 0.8552 -4.3220 7.2693
Sb -1.7592 -7.1998 11.4253
Na -2.2235 -2.0675 3.9800
Na -1.0696 -6.2803 5.5844
Ta 0.0000 0.0000 0.0000
Ta -0.2743 -2.0901 8.2054
```

***

No. 2
Compound: Na3TaSb
Source: Alexandria via LeMat-Bulk
Functional: PBE-GGA
Structure: relaxed

Values from the calculation:
The value obtained for the offset from the most stable computed form is 0.000 eV/atom. The uncorrected formation energy is 114 kJ per mole of atoms. The value obtained for the volume is 192.6 Å³ per cell. The calculation puts the total energy at -2.805 eV per atom. The space group is Pm-3m (221).

Geometry as extended XYZ:
```
5
Lattice="5.7748 0.0000 0.0000 0.0000 5.7748 0.0000 0.0000 0.0000 5.7748" Properties=species:S:1:pos:R:3 pbc="T T T"
Sb 0.0000 0.0000 0.0000
Na 0.0000 2.8874 0.0000
Na 0.0000 0.0000 2.8874
Na 2.8874 0.0000 0.0000
Ta 2.8874 2.8874 2.8874
```

***

No. 3
Compound: NaTaSb2
Source: Alexandria via LeMat-Bulk
Functional: PBE-GGA
Structure: relaxed

Values from the calculation:
The value obtained for the offset from the most stable computed form is 0.309 eV/atom. The uncorrected formation energy is 22 kJ per mole of atoms. The value obtained for the volume is 89.6 Å³ per cell. The calculation puts the total energy at -5.124 eV per atom. The space group is Fm-3m (225).

Geometry as extended XYZ:
```
4
Lattice="0.6423 -2.7837 4.1300 -3.7226 -2.9383 1.6515 0.3884 -4.9929 -0.3726" Properties=species:S:1:pos:R:3 pbc="T T T"
Sb -0.6730 -2.6787 1.3522
Sb -2.0189 -8.0362 4.0567
Na 0.0000 0.0000 0.0000
Ta -1.3459 -5.3575 2.7045
```

***

No. 4
Compound: NaTaSb2
Source: Alexandria via LeMat-Bulk
Functional: PBE-GGA
Structure: relaxed

Values from the calculation:
The value obtained for the offset from the most stable computed form is 0.056 eV/atom. The uncorrected formation energy is -2 kJ per mole of atoms. The value obtained for the volume is 109.2 Å³ per cell. The calculation puts the total energy at -5.377 eV per atom. The space group is R-3m (166).

Geometry as extended XYZ:
```
4
Lattice="-3.3439 -0.1715 1.1328 -1.9472 -2.8735 -0.6680 1.3780 -5.1544 8.8023" Properties=species:S:1:pos:R:3 pbc="T T T"
Sb 0.4198 -3.8919 6.1648
Sb -4.3329 -4.3075 3.1022
Na 0.0000 0.0000 0.0000
Ta -1.9566 -4.0997 4.6335
```

***

No. 5
Compound: NaTa3Sb
Source: Alexandria via LeMat-Bulk
Functional: PBE-GGA
Structure: relaxed

Values from the calculation:
The value obtained for the offset from the most stable computed form is 0.257 eV/atom. The uncorrected formation energy is 202 kJ per mole of atoms. The value obtained for the volume is 104.2 Å³ per cell. The calculation puts the total energy at -6.106 eV per atom. The space group is Pm-3m (221).

Geometry as extended XYZ:
```
5
Lattice="-4.5198 -0.5156 -1.2039 1.3090 -1.6463 -4.2095 0.0401 -4.3780 1.7247" Properties=species:S:1:pos:R:3 pbc="T T T"
Sb -1.5853 -3.2700 -1.8443
Na 0.0000 0.0000 0.0000
Ta 0.6545 -0.8232 -2.1047
Ta 0.0200 -2.1890 0.8624
Ta -2.2599 -0.2578 -0.6019
```

***

No. 6
Compound: Na3TaSb
Source: Alexandria via LeMat-Bulk
Functional: PBE-GGA
Structure: relaxed

Values from the calculation:
The value obtained for the offset from the most stable computed form is 0.292 eV/atom. The uncorrected formation energy is 142 kJ per mole of atoms. The value obtained for the volume is 192.6 Å³ per cell. The calculation puts the total energy at -2.513 eV per atom. The space group is Pm-3m (221).

Geometry as extended XYZ:
```
5
Lattice="5.7746 0.0000 0.0000 0.0000 5.7746 0.0000 0.0000 0.0000 5.7746" Properties=species:S:1:pos:R:3 pbc="T T T"
Sb 2.8873 2.8873 2.8873
Na 0.0000 2.8873 0.0000
Na 0.0000 0.0000 2.8873
Na 2.8873 0.0000 0.0000
Ta 0.0000 0.0000 0.0000
```

***

No. 7
Compound: NaTa3Sb
Source: Alexandria via LeMat-Bulk
Functional: PBE-GGA
Structure: relaxed

Values from the calculation:
The value obtained for the offset from the most stable computed form is 0.000 eV/atom. The uncorrected formation energy is 177 kJ per mole of atoms. The value obtained for the volume is 133.9 Å³ per cell. The calculation puts the total energy at -6.363 eV per atom. The space group is Pm-3m (221).

Geometry as extended XYZ:
```
5
Lattice="-3.1530 4.0174 0.3081 -0.7606 -0.9776 4.9640 3.9567 3.0134 1.1997" Properties=species:S:1:pos:R:3 pbc="T T T"
Sb 0.0000 0.0000 0.0000
Na 0.0216 3.0266 3.2359
Ta -0.3803 -0.4888 2.4820
Ta 1.9784 1.5067 0.5999
Ta -1.5765 2.0087 0.1540
```

***

No. 8
Compound: NaTaSb3
Source: Alexandria via LeMat-Bulk
Functional: PBE-GGA
Structure: relaxed

Values from the calculation:
The value obtained for the offset from the most stable computed form is 0.000 eV/atom. The uncorrected formation energy is 15 kJ per mole of atoms. The value obtained for the volume is 159.2 Å³ per cell. The calculation puts the total energy at -4.956 eV per atom. The space group is Pm-3m (221).

Geometry as extended XYZ:
```
5
Lattice="-2.4624 -1.8403 4.4643 1.6140 -5.0367 -1.1861 4.5510 0.7905 2.8361" Properties=species:S:1:pos:R:3 pbc="T T T"
Sb 0.8070 -2.5183 -0.5930
Sb 2.2755 0.3952 1.4180
Sb -1.2312 -0.9202 2.2321
Na 1.8513 -3.0433 3.0571
Ta 0.0000 0.0000 0.0000
```

***

No. 9
Compound: NaTaSbTe2
Source: Alexandria via LeMat-Bulk
Functional: PBE-GGA
Structure: relaxed

Values from the calculation:
The value obtained for the offset from the most stable computed form is 0.000 eV/atom. The uncorrected formation energy is -3 kJ per mole of atoms. The value obtained for the volume is 164.2 Å³ per cell. The calculation puts the total energy at -4.745 eV per atom. The space group is P4/mmm (123).

Geometry as extended XYZ:
```
5
Lattice="5.4834 0.0000 0.0000 0.0000 5.4834 0.0000 0.0000 0.0000 5.4612" Properties=species:S:1:pos:R:3 pbc="T T T"
Sb 0.0000 0.0000 2.7306
Te 0.0000 2.7417 0.0000
Te 2.7417 0.0000 0.0000
Na 2.7417 2.7417 2.7306
Ta 0.0000 0.0000 0.0000
```

***

No. 10
Compound: Na2ZrTaSb
Source: Alexandria via LeMat-Bulk
Functional: PBE-GGA
Structure: relaxed

Values from the calculation:
The uncorrected formation energy is 125 kJ per mole of atoms. The value obtained for the volume is 155.4 Å³ per cell. The calculation puts the total energy at -4.139 eV per atom. The space group is P4/mmm (123).

Geometry as extended XYZ:
```
5
Lattice="5.5686 0.0000 0.0000 0.0000 5.0118 0.0000 0.0000 0.0000 5.5686" Properties=species:S:1:pos:R:3 pbc="T T T"
Sb 2.7843 2.5059 2.7843
Na 0.0000 0.0000 2.7843
Na 2.7843 0.0000 0.0000
Zr 0.0000 2.5059 0.0000
Ta 0.0000 0.0000 0.0000
```

***

No. 11
Compound: NaTbSb2
Source: Alexandria via LeMat-Bulk
Functional: PBE-GGA
Structure: relaxed

Values from the calculation:
The value obtained for the offset from the most stable computed form is 0.000 eV/atom. The uncorrected formation energy is -58 kJ per mole of atoms. The value obtained for the volume is 113.3 Å³ per cell. The calculation puts the total energy at -4.149 eV per atom. The space group is P4/mmm (123).

Geometry as extended XYZ:
```
4
Lattice="4.0482 0.0000 0.0000 0.0000 4.0482 0.0000 0.0000 0.0000 6.9136" Properties=species:S:1:pos:R:3 pbc="T T T"
Sb 0.0000 0.0000 5.3586
Sb 0.0000 0.0000 1.5550
Tb 2.0241 2.0241 0.0000
Na 2.0241 2.0241 3.4568
```

***

No. 12
Compound: NaTbSb2
Source: Alexandria via LeMat-Bulk
Functional: PBE-GGA
Structure: relaxed

Values from the calculation:
The value obtained for the offset from the most stable computed form is 0.021 eV/atom. The uncorrected formation energy is -56 kJ per mole of atoms. The value obtained for the volume is 106.3 Å³ per cell. The calculation puts the total energy at -4.129 eV per atom. The space group is P4/mmm (123).

Geometry as extended XYZ:
```
4
Lattice="-1.5305 3.0274 2.5794 -4.5206 -0.5332 -2.0565 -1.1382 -3.4748 3.4029" Properties=species:S:1:pos:R:3 pbc="T T T"
Sb -0.5691 -1.7374 1.7014
Sb -2.2603 -0.2666 -1.0282
Tb -3.5946 -0.4903 1.9629
Na -0.7652 1.5137 1.2897
```

***

Number 1: total moment 0.00 μB per formula unit. Number 2: total moment 3.09 μB per formula unit. Number 3: total moment 1.14 μB per formula unit. Number 4: total moment 0.00 μB per formula unit. Number 5: total moment 0.00 μB per formula unit. Number 6: total moment 3.05 μB per formula unit. Number 7: total moment 0.00 μB per formula unit. Number 8: total moment 0.00 μB per formula unit. Number 9: total moment 0.00 μB per formula unit. Number 10: total moment 1.36 μB per formula unit. Number 11: total moment 0.00 μB per formula unit. Number 12: total moment 0.00 μB per formula unit.